The following is a DFT calculation (PBE) of a relaxed structure of Zn2AsPb.

Cell lengths 3.978, 3.978, 6.833 Å; angles 71.83, 71.83, 60.94 degrees
Atoms (fractional coordinates):
Pb 0.750 0.750 0.750
Zn 0.519 0.519 0.439
Zn 0.981 0.981 0.061
As 0.250 0.250 0.250

* formation energy from the elements: 0.0641 eV/atom
* VASP energy: -2.66 eV per atom

The following is a DFT calculation (PBE) of a relaxed structure of PmPuZnCd.

Cell lengths 5.267, 5.267, 5.267 Å; angles 60.00, 60.00, 60.00 degrees
Site moments in Bohr magnetons follow the coordinates.
Atoms (fractional coordinates):
Cd 0.750 0.750 0.750  0.03
Zn 0.250 0.250 0.250  0.02
Pm 0.000 0.000 0.000  0.19
Pu 0.500 0.500 0.500  5.49

* formation energy from the elements: -0.1104 eV/atom
* VASP energy: -5.43 eV per atom

The following is a DFT calculation (PBE) of a relaxed structure of Tm7Mg4Tl.

Cell lengths 5.647, 9.186, 7.853 Å; angles 67.61, 68.93, 72.10 degrees
Atoms (fractional coordinates):
Tm 0.233 0.736 0.797
Tm 0.767 0.264 0.203
Tm 0.500 0.000 0.000
Tm 0.176 0.130 0.517
Tm 0.824 0.870 0.483
Tm 0.092 0.540 0.276
Tm 0.908 0.460 0.724
Mg 0.543 0.319 0.595
Mg 0.671 0.641 0.017
Mg 0.457 0.681 0.405
Mg 0.329 0.359 0.983
Tl 0.000 0.000 0.000

* formation energy from the elements: 0.1074 eV/atom
* VASP energy: -3.23 eV per atom

The following is a DFT calculation (PBE) of a relaxed structure of AcPa2RuN4.

Cell lengths 3.488, 6.288, 11.833 Å; angles 90.00, 90.00, 106.10 degrees
Atoms (fractional coordinates):
N 0.000 0.000 0.500
N 0.269 0.539 0.396
N 0.731 0.461 0.604
N 0.269 0.539 0.104
N 0.444 0.889 0.750
N 0.731 0.461 0.896
N 0.000 0.000 0.000
N 0.556 0.111 0.250
Ru 0.841 0.683 0.750
Ru 0.159 0.317 0.250
Pa 0.632 0.264 0.441
Pa 0.368 0.736 0.559
Pa 0.368 0.736 0.941
Pa 0.632 0.264 0.059
Ac 0.897 0.795 0.250
Ac 0.103 0.205 0.750

* formation energy from raw total energies: -1238 meV per atom
* VASP energy: -9.45 eV per atom

The following is a DFT calculation (PBE) of a relaxed structure of NdGa2SiNi2.

Cell lengths 4.308, 4.308, 5.601 Å; angles 90.00, 90.00, 90.00 degrees
Atoms (fractional coordinates):
Nd 0.000 0.000 0.500
Ni 0.500 0.000 0.000
Ni 0.000 0.500 0.000
Ga 0.500 0.500 0.261
Ga 0.500 0.500 0.739
Si 0.000 0.000 0.000

* formation energy from raw total energies: -429 meV per atom
* VASP energy: -5.06 eV per atom

The following is a DFT calculation (PBE) of a relaxed structure of HoPa3Tl2O12.

Cell lengths 8.095, 8.095, 8.095 Å; angles 61.39, 61.39, 61.39 degrees
Site moments in Bohr magnetons follow the coordinates.
Atoms (fractional coordinates):
O 0.937 0.937 0.324  0.21
O 0.042 0.691 0.691  0.23
O 0.691 0.042 0.691  0.23
O 0.063 0.676 0.063  0.21
O 0.937 0.324 0.937  0.21
O 0.958 0.309 0.309  0.23
O 0.309 0.309 0.958  0.23
O 0.063 0.063 0.676  0.21
O 0.676 0.063 0.063  0.21
O 0.691 0.691 0.042  0.23
O 0.324 0.937 0.937  0.21
O 0.309 0.958 0.309  0.23
Tl 0.682 0.682 0.682  0.00
Tl 0.318 0.318 0.318  0.00
Pa 0.000 0.000 0.500  0.11
Pa 0.500 0.000 0.000  0.11
Pa 0.000 0.500 0.000  0.11
Ho 0.000 0.000 0.000  0.03

* formation energy from raw total energies: -2481 meV per atom
* VASP energy: -7.89 eV per atom